Record 1
! Li4LaTl meta-GGA SCAN PBEsol geometry; values from VASP
&SYSTEM
  ibrav = 0, nat = 6, ntyp = 3
/
ATOMIC_SPECIES
Tl 204.38 Tl.upf
La 138.91 La.upf
Li 6.94 Li.upf
CELL_PARAMETERS angstrom
-4.729 1.631 -2.454
-1.635 -2.388 -4.762
-4.427 -3.384 -0.043
ATOMIC_POSITIONS crystal
Tl 0.750 0.750 0.750
La 0.000 0.000 0.000
Li 0.376 0.376 0.376
Li 0.376 0.376 0.871
Li 0.871 0.376 0.376
Li 0.376 0.871 0.376
! Space group: F-43m (216)
! DFT total energy: -126.3 eV for the cell shown
! DOS(E_F): 0.5 states/eV/cell
! ρ: 5.0 g/cm³
! ΔE_f: -211 meV/atom

Record 2
! KP2Os meta-GGA SCAN PBEsol geometry; values from VASP
&SYSTEM
  ibrav = 0, nat = 4, ntyp = 3
/
ATOMIC_SPECIES
K 39.10 K.upf
Os 190.23 Os.upf
P 30.97 P.upf
CELL_PARAMETERS angstrom
-0.545 -2.680 -0.836
4.276 -1.188 -3.873
4.580 -3.093 2.038
ATOMIC_POSITIONS crystal
K 0.000 0.500 0.500
Os 0.500 0.000 0.000
P 0.190 0.810 0.810
P 0.810 0.190 0.190
! Space group: Immm (71)
! DFT total energy: -100.6 eV for the cell shown
! DOS(E_F): 1.5 states/eV/cell
! ρ: 5.7 g/cm³
! ΔE_f: 100 meV/atom

Record 3
! CrCu2Rh meta-GGA SCAN PBEsol geometry; values from VASP
&SYSTEM
  ibrav = 0, nat = 4, ntyp = 3
/
ATOMIC_SPECIES
Cr 52.00 Cr.upf
Cu 63.55 Cu.upf
Rh 102.91 Rh.upf
CELL_PARAMETERS angstrom
4.118 0.000 0.000
2.059 3.566 0.000
2.059 1.189 3.362
ATOMIC_POSITIONS crystal
Cr 0.500 0.500 0.500
Cu 0.000 0.000 0.000
Cu 0.750 0.750 0.750
Rh 0.250 0.250 0.250
! Space group: F-43m (216)
! DFT total energy: -82.3 eV for the cell shown
! DOS(E_F): 3.1 states/eV/cell
! ρ: 9.5 g/cm³
! ΔE_f: 57 meV/atom

Record 4
! Ta2MnW meta-GGA SCAN PBEsol geometry; values from VASP
&SYSTEM
  ibrav = 0, nat = 4, ntyp = 3
/
ATOMIC_SPECIES
Mn 54.94 Mn.upf
Ta 180.95 Ta.upf
W 183.84 W.upf
CELL_PARAMETERS angstrom
-2.111 0.428 2.248
-2.281 -0.155 -2.113
-0.362 -6.257 0.851
ATOMIC_POSITIONS crystal
Mn 0.500 0.500 0.744
Ta 0.000 0.000 0.983
Ta 0.500 0.500 0.256
W 0.000 0.000 0.516
! Space group: P4mm (99)
! DFT total energy: -221.2 eV for the cell shown
! DOS(E_F): 2.1 states/eV/cell
! ρ: 16.3 g/cm³
! ΔE_f: -16 meV/atom

Record 5
! TaCrCu2 meta-GGA SCAN PBEsol geometry; values from VASP
&SYSTEM
  ibrav = 0, nat = 4, ntyp = 3
/
ATOMIC_SPECIES
Cr 52.00 Cr.upf
Cu 63.55 Cu.upf
Ta 180.95 Ta.upf
CELL_PARAMETERS angstrom
-3.404 1.712 1.799
-3.661 0.097 -2.084
-3.192 -2.458 1.234
ATOMIC_POSITIONS crystal
Cr 0.500 0.500 0.500
Cu 0.000 0.000 0.000
Cu 0.750 0.750 0.750
Ta 0.250 0.250 0.250
! Space group: F-43m (216)
! DFT total energy: -114.0 eV for the cell shown
! DOS(E_F): 5.0 states/eV/cell
! ρ: 11.3 g/cm³
! ΔE_f: 343 meV/atom

Record 6
! CaMg2Hg meta-GGA SCAN PBEsol geometry; values from VASP
&SYSTEM
  ibrav = 0, nat = 4, ntyp = 3
/
ATOMIC_SPECIES
Mg 24.30 Mg.upf
Ca 40.08 Ca.upf
Hg 200.59 Hg.upf
CELL_PARAMETERS angstrom
4.468 0.000 0.000
0.000 4.468 0.000
0.000 0.000 4.876
ATOMIC_POSITIONS crystal
Mg 0.000 0.500 0.000
Mg 0.500 0.000 0.000
Ca 0.500 0.500 0.500
Hg 0.000 0.000 0.500
! Space group: P4/mmm (123)
! DFT total energy: -88.9 eV for the cell shown
! DOS(E_F): 2.3 states/eV/cell
! ρ: 4.9 g/cm³
! ΔE_f: -293 meV/atom

Record 7
! Li2CuAu meta-GGA SCAN PBEsol geometry; values from VASP
&SYSTEM
  ibrav = 0, nat = 4, ntyp = 3
/
ATOMIC_SPECIES
Au 196.97 Au.upf
Cu 63.55 Cu.upf
Li 6.94 Li.upf
CELL_PARAMETERS angstrom
-2.482 -0.925 -0.591
-0.558 -1.317 4.410
-0.378 4.627 0.573
ATOMIC_POSITIONS crystal
Au 0.495 0.499 0.991
Cu 0.753 0.252 0.506
Li 0.009 0.012 0.019
Li 0.242 0.737 0.485
! Space group: Cm (8)
! DFT total energy: -90.4 eV for the cell shown
! DOS(E_F): 1.0 states/eV/cell
! ρ: 8.2 g/cm³
! ΔE_f: -315 meV/atom

Record 8
! IrAuBr2 meta-GGA SCAN PBEsol geometry; values from VASP
&SYSTEM
  ibrav = 0, nat = 4, ntyp = 3
/
ATOMIC_SPECIES
Ir 192.22 Ir.upf
Au 196.97 Au.upf
Br 79.90 Br.upf
CELL_PARAMETERS angstrom
-1.702 1.096 2.439
1.640 -3.413 2.678
4.870 4.836 -0.836
ATOMIC_POSITIONS crystal
Ir 0.500 0.000 0.000
Au 0.000 0.500 0.000
Br 0.847 0.847 0.693
Br 0.153 0.153 0.307
! Space group: Immm (71)
! DFT total energy: -177.9 eV for the cell shown
! Formation energy (no corrections): 0.3292 eV/atom
! DOS(E_F): 0.8 states/eV/cell
! ρ: 9.8 g/cm³

Record 9
! NaGeB3 meta-GGA SCAN PBEsol geometry; values from VASP
&SYSTEM
  ibrav = 0, nat = 5, ntyp = 3
/
ATOMIC_SPECIES
Na 22.99 Na.upf
Ge 72.64 Ge.upf
B 10.81 B.upf
CELL_PARAMETERS angstrom
4.190 0.000 0.000
0.000 4.190 0.000
0.000 0.000 4.190
ATOMIC_POSITIONS crystal
Na 0.500 0.500 0.500
Ge 0.000 0.000 0.000
B 0.000 0.500 0.000
B 0.000 0.000 0.500
B 0.500 0.000 0.000
! Space group: Pm-3m (221)
! DFT total energy: -37.0 eV for the cell shown
! DOS(E_F): 2.7 states/eV/cell
! ρ: 2.9 g/cm³
! ΔE_f: 1719 meV/atom

Record 10
! Zn3CoS4 meta-GGA SCAN PBEsol geometry; values from VASP
&SYSTEM
  ibrav = 0, nat = 8, ntyp = 3
/
ATOMIC_SPECIES
Zn 65.41 Zn.upf
Co 58.93 Co.upf
S 32.06 S.upf
CELL_PARAMETERS angstrom
-1.093 2.383 -2.706
-3.430 -1.559 0.012
-2.986 6.625 7.040
ATOMIC_POSITIONS crystal
Zn 0.000 0.000 0.766
Zn 0.500 0.500 0.500
Zn 0.000 0.000 0.234
Co 0.500 0.500 0.000
S 0.000 0.500 0.367
S 0.500 0.000 0.099
S 0.000 0.500 0.901
S 0.500 0.000 0.633
! Space group: P-4m2 (115)
! DFT total energy: -101.9 eV for the cell shown
! Formation energy (no corrections): -0.6934 eV/atom
! DOS(E_F): 2.2 states/eV/cell
! ρ: 4.4 g/cm³

Record 11
! Sc2ZnH2 meta-GGA SCAN PBEsol geometry; values from VASP
&SYSTEM
  ibrav = 0, nat = 5, ntyp = 3
/
ATOMIC_SPECIES
Sc 44.96 Sc.upf
H 1.01 H.upf
Zn 65.41 Zn.upf
CELL_PARAMETERS angstrom
-0.779 2.628 1.942
-2.164 -1.911 1.718
5.460 -1.747 1.649
ATOMIC_POSITIONS crystal
Sc 0.351 0.351 0.702
Sc 0.649 0.649 0.298
H 0.250 0.750 0.500
H 0.750 0.250 0.500
Zn 0.000 0.000 0.000
! Space group: I4/mmm (139)
! DFT total energy: -52.2 eV for the cell shown
! DOS(E_F): 1.4 states/eV/cell
! ρ: 4.2 g/cm³

Record 12
! Sc2CdFe2 meta-GGA SCAN PBEsol geometry; values from VASP
&SYSTEM
  ibrav = 0, nat = 5, ntyp = 3
/
ATOMIC_SPECIES
Sc 44.96 Sc.upf
Fe 55.84 Fe.upf
Cd 112.41 Cd.upf
CELL_PARAMETERS angstrom
4.145 0.000 0.000
0.000 4.145 0.000
-2.073 -2.073 5.271
ATOMIC_POSITIONS crystal
Sc 0.250 0.750 0.500
Sc 0.750 0.250 0.500
Fe 0.403 0.403 0.807
Fe 0.597 0.597 0.193
Cd 0.000 0.000 0.000
! Space group: I4/mmm (139)
! DFT total energy: -92.9 eV for the cell shown
! DOS(E_F): 5.0 states/eV/cell
! ρ: 5.8 g/cm³
! ΔE_f: 442 meV/atom